First-principles (GGA-PBEsol) data for LaSc2Co after structural relaxation, as listed in Alexandria via LeMat-Bulk.

abc: 3.7750 4.4953 4.9078
angles: 90.00 90.00 90.00
With the nearest neighbours (Å) after each atom.
Sites, in units of the cell vectors:
1 Co 0.5000 0.0000 0.5000  4 La 2.94, 4 Sc 3.10
2 La 0.0000 0.5000 0.5000  4 Co 2.94, 4 Sc 3.10
3 Sc 0.0000 0.0000 0.0000  4 Sc 2.94, 4 Co 3.10
4 Sc 0.5000 0.5000 0.0000  4 Sc 2.94, 4 La 3.10

Its density of states at the Fermi level is 5.0 states/eV/cell. The calculation puts the magnetization at 0.00 μB per formula unit. The calculation puts the energy of formation at 0.179 eV/atom.